[1]
YTa2Ir2: optimized geometry, PBEsol.

Lattice parameters (Å, degrees): 6.076 6.076 6.076 137.82 137.82 61.18
Fractional positions:
Y: 0.000 0.000 0.000
Ta: 0.250 0.750 0.500
Ta: 0.750 0.250 0.500
Ir: 0.377 0.377 0.000
Ir: 0.623 0.623 0.000

density of states at the Fermi level = 3.29 states/eV/cell
energy of formation = -586 meV/atom
SG = I4/mmm, No. 139



[2]
YZrTa2Ir: optimized geometry, PBEsol.

Lattice parameters (Å, degrees): 4.709 4.709 5.110 90.00 90.00 90.00
Fractional positions:
Y: 0.000 0.000 0.000
Zr: 0.000 0.000 0.500
Ta: 0.000 0.500 0.500
Ta: 0.500 0.000 0.500
Ir: 0.500 0.500 0.000

density of states at the Fermi level = 7.30 states/eV/cell
energy of formation = 1887 meV/atom
SG = P4/mmm, No. 123



[3]
Ta2ZnIr: optimized geometry, PBEsol.

Lattice parameters (Å, degrees): 9.374 9.374 9.374 17.28 17.28 17.28
Fractional positions:
Ta: 0.249 0.249 0.249
Ta: 0.751 0.751 0.751
Zn: 0.000 0.000 0.000
Ir: 0.500 0.500 0.500

density of states at the Fermi level = 2.17 states/eV/cell
energy of formation = -90 meV/atom
SG = R-3m, No. 166



[4]
ZrTaIr2: optimized geometry, PBEsol.

Lattice parameters (Å, degrees): 3.058 4.368 5.295 90.00 106.89 90.00
Fractional positions:
Zr: 0.000 0.000 0.000
Ta: 0.291 0.500 0.580
Ir: 0.555 0.500 0.108
Ir: 0.740 0.000 0.478

density of states at the Fermi level = 2.60 states/eV/cell
energy of formation = -690 meV/atom
SG = Pm, No. 6



[5]
ZrTaIr2: optimized geometry, PBEsol.

Lattice parameters (Å, degrees): 4.182 4.182 3.745 90.00 90.00 90.00
Fractional positions:
Zr: 0.000 0.000 0.000
Ta: 0.500 0.500 0.000
Ir: 0.000 0.500 0.500
Ir: 0.500 0.000 0.500

density of states at the Fermi level = 3.47 states/eV/cell
energy of formation = -618 meV/atom
SG = P4/mmm, No. 123



[6]
ZrTaIr3: optimized geometry, PBEsol.

Lattice parameters (Å, degrees): 4.688 4.688 4.688 90.00 90.00 90.00
Fractional positions:
Zr: 0.000 0.000 0.000
Ta: 0.500 0.500 0.500
Ir: 0.000 0.500 0.500
Ir: 0.500 0.000 0.500
Ir: 0.500 0.500 0.000

density of states at the Fermi level = 4.01 states/eV/cell
energy of formation = 993 meV/atom
SG = Pm-3m, No. 221